This record from the Alexandria database describes an optimized crystal structure of CoTcBr2. The functional is GGA-PBE.

CIF file:
```
data_CoTcBr2
_space_group_name_H-M_alt 'C m m 2'
_space_group_IT_number 35
_cell_length_a 3.8863
_cell_length_b 5.3977
_cell_length_c 8.3493
_cell_angle_alpha 90.00
_cell_angle_beta 90.00
_cell_angle_gamma 90.00
loop_
_space_group_symop_operation_xyz
'x,y,z'
'-x,-y,z'
'-x,y,z'
'x,-y,z'
'x+1/2,y+1/2,z'
'-x+1/2,-y+1/2,z'
'-x+1/2,y+1/2,z'
'x+1/2,-y+1/2,z'
loop_
_atom_site_label
_atom_site_type_symbol
_atom_site_fract_x
_atom_site_fract_y
_atom_site_fract_z
_atom_site_occupancy
Co1 Co 0.0000 0.0000 0.0000 1
Tc1 Tc 0.0000 0.5000 0.1425 1
Br1 Br 0.0000 0.0000 0.3709 1
Br2 Br 0.0000 0.5000 0.8153 1
```

## Properties
Total energy (eV/atom): -4.83
Formation energy (no corrections) (meV/atom): 374
N(E_F) (states/eV per atom): 0.383
Total magnetization (μB/f.u.): 1.95

This record from the Alexandria database describes an optimized crystal structure of TcPt4Br. The functional is GGA-PBE.

CIF file:
```
data_TcPt4Br
_space_group_name_H-M_alt 'F -4 3 m'
_space_group_IT_number 216
_space_group_name_Hall 'F -4 2 3'
_cell_length_a 7.5651
_cell_length_b 7.5651
_cell_length_c 7.5651
_cell_angle_alpha 90.00
_cell_angle_beta 90.00
_cell_angle_gamma 90.00
loop_
_atom_site_label
_atom_site_type_symbol
_atom_site_fract_x
_atom_site_fract_y
_atom_site_fract_z
_atom_site_occupancy
Tc1 Tc 0.0000 0.0000 0.0000 1
Pt1 Pt 0.1253 0.1253 0.3747 1
Br1 Br 0.2500 0.2500 0.7500 1
```

## Properties
Total energy (eV/atom): -5.43
Formation energy (no corrections) (meV/atom): 599
N(E_F) (states/eV per atom): 0.868
Total magnetization (μB/f.u.): 3.73

This record from the Alexandria database describes an optimized crystal structure of PmSiAgPd. The functional is GGA-PBE.

CIF file:
```
data_PmSiAgPd
_space_group_name_H-M_alt 'F -4 3 m'
_space_group_IT_number 216
_space_group_name_Hall 'F -4 2 3'
_cell_length_a 6.7784
_cell_length_b 6.7784
_cell_length_c 6.7784
_cell_angle_alpha 90.00
_cell_angle_beta 90.00
_cell_angle_gamma 90.00
loop_
_atom_site_label
_atom_site_type_symbol
_atom_site_fract_x
_atom_site_fract_y
_atom_site_fract_z
_atom_site_occupancy
Pm1 Pm 0.0000 0.0000 0.0000 1
Si1 Si 0.2500 0.2500 0.2500 1
Ag1 Ag 0.2500 0.2500 0.7500 1
Pd1 Pd 0.0000 0.0000 0.5000 1
```

## Properties
Total energy (eV/atom): -4.93
Formation energy (no corrections) (meV/atom): -375
N(E_F) (states/eV per atom): 0.296
Total magnetization (μB/f.u.): 0.00

This record from the Alexandria database describes an optimized crystal structure of YAsS2Cl. The functional is GGA-PBE.

CIF file:
```
data_YAsS2Cl
_space_group_name_H-M_alt 'P 4/m m m'
_space_group_IT_number 123
_space_group_name_Hall '-P 4 2'
_cell_length_a 5.3219
_cell_length_b 5.3219
_cell_length_c 5.0902
_cell_angle_alpha 90.00
_cell_angle_beta 90.00
_cell_angle_gamma 90.00
loop_
_atom_site_label
_atom_site_type_symbol
_atom_site_fract_x
_atom_site_fract_y
_atom_site_fract_z
_atom_site_occupancy
Y1 Y 0.0000 0.0000 0.0000 1
As1 As 0.5000 0.5000 0.5000 1
S1 S 0.0000 0.5000 0.0000 1
Cl1 Cl 0.0000 0.0000 0.5000 1
```

## Properties
Total energy (eV/atom): -4.65
Formation energy (no corrections) (meV/atom): -409
N(E_F) (states/eV per atom): 0.434
Total magnetization (μB/f.u.): 1.00

This record from the Alexandria database describes an optimized crystal structure of La2TcH. The functional is GGA-PBE.

CIF file:
```
data_La2TcH
_space_group_name_H-M_alt 'I -4 2 d'
_space_group_IT_number 122
_space_group_name_Hall 'I -4 2bw'
_cell_length_a 5.4685
_cell_length_b 5.4685
_cell_length_c 13.2722
_cell_angle_alpha 90.00
_cell_angle_beta 90.00
_cell_angle_gamma 90.00
loop_
_atom_site_label
_atom_site_type_symbol
_atom_site_fract_x
_atom_site_fract_y
_atom_site_fract_z
_atom_site_occupancy
La1 La 0.2328 0.2500 0.1250 1
Tc1 Tc 0.0000 0.0000 0.5000 1
H1 H 0.0000 0.0000 0.0000 1
```

## Properties
Total energy (eV/atom): -5.76
N(E_F) (states/eV per atom): 0.585
Total magnetization (μB/f.u.): 0.00

This record from the Alexandria database describes an optimized crystal structure of Cs14H3Au6. The functional is GGA-PBE.

CIF file:
```
data_Cs14H3Au6
_space_group_name_H-M_alt 'P 3'
_space_group_IT_number 143
_cell_length_a 12.8709
_cell_length_b 12.8709
_cell_length_c 7.9599
_cell_angle_alpha 90.00
_cell_angle_beta 90.00
_cell_angle_gamma 120.00
loop_
_space_group_symop_operation_xyz
'x,y,z'
'-y,x-y,z'
'-x+y,-x,z'
loop_
_atom_site_label
_atom_site_type_symbol
_atom_site_fract_x
_atom_site_fract_y
_atom_site_fract_z
_atom_site_occupancy
Cs1 Cs 0.0000 0.0000 0.0000 1
Cs2 Cs 0.0972 0.5627 0.7465 1
Cs3 Cs 0.2028 0.4329 0.2104 1
Cs4 Cs 0.2376 0.1411 0.5164 1
Cs5 Cs 0.4291 0.1958 0.0156 1
Cs6 Cs 0.6667 0.3333 0.4912 1
H1 H 0.0000 0.0000 0.3655 1
H2 H 0.3333 0.6667 0.9824 1
H3 H 0.6667 0.3333 0.8554 1
Au1 Au 0.1139 0.2871 0.7958 1
Au2 Au 0.4938 0.4526 0.2906 1
```

## Properties
Total energy (eV/atom): -2.00
N(E_F) (states/eV per atom): 0.823
Total magnetization (μB/f.u.): 0.69

This record from the Alexandria database describes an optimized crystal structure of BeTcSb2. The functional is GGA-PBE.

CIF file:
```
data_BeTcSb2
_space_group_name_H-M_alt 'C 1 2/m 1'
_space_group_IT_number 12
_cell_length_a 5.9005
_cell_length_b 7.1900
_cell_length_c 3.3661
_cell_angle_alpha 90.00
_cell_angle_beta 90.15
_cell_angle_gamma 90.00
loop_
_space_group_symop_operation_xyz
'x,y,z'
'-x,-y,-z'
'-x,y,-z'
'x,-y,z'
'x+1/2,y+1/2,z'
'-x+1/2,-y+1/2,-z'
'-x+1/2,y+1/2,-z'
'x+1/2,-y+1/2,z'
loop_
_atom_site_label
_atom_site_type_symbol
_atom_site_fract_x
_atom_site_fract_y
_atom_site_fract_z
_atom_site_occupancy
Be1 Be 0.0000 0.0000 0.0000 1
Tc1 Tc 0.0000 0.5000 0.0000 1
Sb1 Sb 0.2500 0.2500 0.5000 1
```

## Properties
Total energy (eV/atom): -5.05
Formation energy (no corrections) (meV/atom): 534
N(E_F) (states/eV per atom): 0.642
Total magnetization (μB/f.u.): 0.00

This record from the Alexandria database describes an optimized crystal structure of Cr2NiIr. The functional is GGA-PBE.

CIF file:
```
data_Cr2NiIr
_space_group_name_H-M_alt 'P 4 m m'
_space_group_IT_number 99
_cell_length_a 2.9673
_cell_length_b 2.9673
_cell_length_c 5.5909
_cell_angle_alpha 90.00
_cell_angle_beta 90.00
_cell_angle_gamma 90.00
loop_
_space_group_symop_operation_xyz
'x,y,z'
'-y,x,z'
'-x,-y,z'
'y,-x,z'
'-x,y,z'
'y,x,z'
'x,-y,z'
'-y,-x,z'
loop_
_atom_site_label
_atom_site_type_symbol
_atom_site_fract_x
_atom_site_fract_y
_atom_site_fract_z
_atom_site_occupancy
Cr1 Cr 0.0000 0.0000 0.0000 1
Cr2 Cr 0.5000 0.5000 0.2416 1
Ni1 Ni 0.5000 0.5000 0.7902 1
Ir1 Ir 0.0000 0.0000 0.5120 1
```

## Properties
Total energy (eV/atom): -8.43
N(E_F) (states/eV per atom): 1.045
Total magnetization (μB/f.u.): 0.31
Energy of formation from the pure elements (eV per atom): 0.05